{"formula": "NiAg2Pb", "functional": "PBE", "state": "relaxed", "space_group": "Pmmm", "volume_a3_per_atom": 19.14, "delta_e_f_ev_per_atom": 0.260, "lattice_angstrom": [[3.138, 0.000, 0.000], [0.000, 3.411, 0.000], [0.000, 0.000, 7.152]], "species": ["Pb", "Ag", "Ag", "Ni"], "frac_coords": [[0.500, 0.500, 0.750], [0.000, 0.000, 0.053], [0.000, 0.000, 0.447], [0.500, 0.500, 0.250]]}

---

{"formula": "NaPm4PrS8", "functional": "PBE", "state": "relaxed", "space_group": "R3m", "e_form_raw_ev_per_atom": -1.9169, "volume_a3_per_atom": 29.34, "lattice_angstrom": [[8.325, 0.000, 0.000], [4.163, 7.210, 0.000], [4.163, 2.403, 6.844]], "species": ["Pm", "Pm", "Pm", "Pm", "S", "S", "S", "S", "S", "S", "S", "S", "Na", "Pr"], "frac_coords": [[0.625, 0.625, 0.124], [0.488, 0.004, 0.504], [0.004, 0.488, 0.504], [0.004, 0.004, 0.504], [0.756, 0.227, 0.261], [0.756, 0.756, 0.261], [0.227, 0.756, 0.261], [0.782, 0.241, 0.736], [0.241, 0.241, 0.736], [0.758, 0.758, 0.726], [0.241, 0.782, 0.736], [0.239, 0.239, 0.283], [0.374, 0.374, 0.877], [0.004, 0.004, 0.988]]}

---

{"formula": "LaBiO3", "functional": "PBE", "state": "relaxed", "space_group": "P2_1/c", "e_form_raw_ev_per_atom": -2.2709, "volume_a3_per_atom": 17.65, "lattice_angstrom": [[-2.058, -6.411, 1.982], [6.126, -1.470, 1.607], [-0.973, 3.488, 6.901]], "species": ["O", "O", "O", "O", "O", "O", "O", "O", "O", "O", "O", "O", "Bi", "Bi", "Bi", "Bi", "La", "La", "La", "La"], "frac_coords": [[0.802, 0.896, 0.965], [0.457, 0.654, 0.859], [0.457, 0.846, 0.359], [0.999, 0.926, 0.677], [0.543, 0.346, 0.141], [0.198, 0.104, 0.035], [0.198, 0.396, 0.535], [0.543, 0.154, 0.641], [0.999, 0.574, 0.177], [0.001, 0.074, 0.323], [0.001, 0.426, 0.823], [0.802, 0.604, 0.465], [0.094, 0.774, 0.935], [0.906, 0.274, 0.565], [0.906, 0.226, 0.065], [0.094, 0.726, 0.435], [0.641, 0.684, 0.163], [0.359, 0.316, 0.837], [0.359, 0.184, 0.337], [0.641, 0.816, 0.663]]}

---

{"formula": "KMg2Si", "functional": "PBE", "state": "relaxed", "space_group": "R-3m", "e_form_raw_ev_per_atom": 0.3444, "volume_a3_per_atom": 27.86, "lattice_angstrom": [[-7.522, -3.556, 6.714], [-7.048, -6.448, 4.800], [-4.941, -5.781, 7.515]], "species": ["K", "Mg", "Mg", "Si"], "frac_coords": [[0.750, 0.750, 0.750], [0.522, 0.522, 0.522], [0.978, 0.978, 0.978], [0.250, 0.250, 0.250]]}

---

{"formula": "TaZnCo2Cu", "functional": "PBE", "state": "relaxed", "space_group": "P4/mmm", "volume_a3_per_atom": 15.55, "delta_e_f_ev_per_atom": 1.043, "lattice_angstrom": [[-0.537, -4.149, 0.992], [1.836, 0.654, 3.727], [-3.831, 0.909, 1.728]], "species": ["Co", "Co", "Ta", "Cu", "Zn"], "frac_coords": [[0.000, 0.000, 0.500], [0.500, 0.000, 0.000], [0.500, 0.500, 0.500], [0.000, 0.000, 0.000], [0.000, 0.500, 0.000]]}

---

{"formula": "Ti2Nb2Tc", "functional": "PBE", "state": "relaxed", "space_group": "P4/mbm", "volume_a3_per_atom": 18.48, "delta_e_f_ev_per_atom": 0.269, "e_above_lowest_polymorph_mev_per_atom": 444.9, "lattice_angstrom": [[6.532, 0.000, 0.000], [0.000, 6.532, 0.000], [0.000, 0.000, 4.331]], "species": ["Ti", "Ti", "Ti", "Ti", "Nb", "Nb", "Nb", "Nb", "Tc", "Tc"], "frac_coords": [[0.661, 0.839, 0.500], [0.839, 0.339, 0.500], [0.161, 0.661, 0.500], [0.339, 0.161, 0.500], [0.650, 0.150, 0.000], [0.150, 0.350, 0.000], [0.850, 0.650, 0.000], [0.350, 0.850, 0.000], [0.500, 0.500, 0.000], [0.000, 0.000, 0.000]]}

---

Calculated DOS(E_F), 3.0, 0.0, 0.0, 2.9, 8.5, 7.4 states/eV/f.u. (same order as the records).
Calculated magnetic moment, 0.0000, 0.0000, 0.0000, 0.0000, 0.6492, 0.0000 μB/atom (same order as the records).